[1]
DFT (PBE-GGA) results for an optimized crystal structure of Rb4BiI5.

Calculated values
**Uncorrected energy**: -2.628 eV per atom
**Space group**: I4
**Formation energy from raw total energies**: -1077 meV per atom

a b c (Å): 10.091 9.030 9.030
angles (deg): 71.81 56.03 56.03
Positions (direct):
Rb  0.483  0.389  0.820
Rb  0.872  0.820  0.611
Rb  0.303  0.180  0.389
Rb  0.692  0.611  0.180
Bi  0.942  0.000  0.000
I  0.863  0.375  0.793
I  0.238  0.793  0.625
I  0.657  0.207  0.375
I  0.032  0.625  0.207
I  0.428  0.000  0.000

[2]
DFT (PBE-GGA) results for an optimized crystal structure of BeHgS2.

Calculated values
**Uncorrected energy**: -2.516 eV per atom
**Space group**: I4/mcm
**Energy above the lowest structure with this stoichiometry**: 1112 meV/atom
**Formation energy from raw total energies**: 554 meV per atom

a b c (Å): 6.690 6.690 5.740
angles (deg): 54.36 54.36 90.00
Positions (direct):
Be  0.750  0.750  0.500
Be  0.250  0.250  0.500
S  0.789  0.289  0.000
S  0.211  0.711  0.000
S  0.289  0.211  0.000
S  0.711  0.789  0.000
Hg  0.750  0.250  0.500
Hg  0.250  0.750  0.500

[3]
DFT (PBE-GGA) results for an optimized crystal structure of Hf2ScO.

Calculated values
**Uncorrected energy**: -8.771 eV per atom
**Space group**: I-42d
**Energy above the lowest structure with this stoichiometry**: 0 meV/atom
**Formation energy from raw total energies**: -972 meV per atom

a b c (Å): 6.523 6.523 6.108
angles (deg): 57.73 57.73 90.00
Positions (direct):
Sc  0.000  0.000  0.000
Sc  0.750  0.250  0.500
Hf  0.483  0.125  0.250
Hf  0.267  0.625  0.250
Hf  0.375  0.517  0.750
Hf  0.875  0.733  0.750
O  0.500  0.500  0.000
O  0.250  0.750  0.500

[4]
DFT (PBE-GGA) results for an optimized crystal structure of K2MgCdS.

Calculated values
**Uncorrected energy**: -1.971 eV per atom
**Space group**: P4/mmm
**Formation energy from raw total energies**: -205 meV per atom

a b c (Å): 6.116 5.293 6.116
angles (deg): 90.00 90.00 90.00
Positions (direct):
Mg  0.500  0.500  0.500
K  0.000  0.000  0.500
K  0.500  0.000  0.000
S  0.000  0.000  0.000
Cd  0.000  0.500  0.000

Question: What is the formation energy from raw total energies in the fourth record?
Answer: -205 meV per atom

Question: Which value of uncorrected energy does entry 3 give?
Answer: -8.771 eV per atom

Repeat the third record exactly.
DFT (PBE-GGA) results for an optimized crystal structure of Hf2ScO.

Calculated values
**Uncorrected energy**: -8.771 eV per atom
**Space group**: I-42d
**Energy above the lowest structure with this stoichiometry**: 0 meV/atom
**Formation energy from raw total energies**: -972 meV per atom

a b c (Å): 6.523 6.523 6.108
angles (deg): 57.73 57.73 90.00
Positions (direct):
Sc  0.000  0.000  0.000
Sc  0.750  0.250  0.500
Hf  0.483  0.125  0.250
Hf  0.267  0.625  0.250
Hf  0.375  0.517  0.750
Hf  0.875  0.733  0.750
O  0.500  0.500  0.000
O  0.250  0.750  0.500